GePAu3 after structural relaxation. Source: Alexandria via LeMat-Bulk, functional PBE-GGA.

CIF file:
```
data_GePAu3
_symmetry_space_group_name_H-M 'P m -3 m'
_symmetry_Int_Tables_number 221
_symmetry_space_group_name_Hall '-P 4 2 3'
_cell_length_a 4.8773
_cell_length_b 4.8773
_cell_length_c 4.8773
_cell_angle_alpha 90.00
_cell_angle_beta 90.00
_cell_angle_gamma 90.00
loop_
_atom_site_label
_atom_site_type_symbol
_atom_site_fract_x
_atom_site_fract_y
_atom_site_fract_z
Ge1 Ge 0.0000 0.0000 0.0000
P1 P 0.5000 0.5000 0.5000
Au1 Au 0.0000 0.0000 0.5000
```

For the energy of formation, the calculation gives 0.86 eV per atom. The total moment is 1.34 μB/cell. For the uncorrected energy, the calculation gives -3.115 eV/atom. The value obtained for the density of states at the Fermi level is 0.789 states/eV per atom.



Sm2Cu3Pt after structural relaxation. Source: Alexandria via LeMat-Bulk, functional PBE-GGA.

CIF file:
```
data_Sm2Cu3Pt
_symmetry_space_group_name_H-M 'F m m m'
_symmetry_Int_Tables_number 69
_symmetry_space_group_name_Hall '-F 2 2'
_cell_length_a 7.4157
_cell_length_b 8.6137
_cell_length_c 14.9544
_cell_angle_alpha 90.00
_cell_angle_beta 90.00
_cell_angle_gamma 90.00
loop_
_atom_site_label
_atom_site_type_symbol
_atom_site_fract_x
_atom_site_fract_y
_atom_site_fract_z
Sm1 Sm 0.2472 0.0000 0.0000
Sm2 Sm 0.2500 0.2500 0.2500
Cu1 Cu 0.0000 0.0000 0.3370
Cu2 Cu 0.0000 0.2430 0.4189
Pt1 Pt 0.0000 0.0000 0.1661
```

For the energy of formation, the calculation gives -0.50 eV per atom. The total moment is 0.00 μB/cell. For the uncorrected energy, the calculation gives -5.124 eV/atom. The value obtained for the density of states at the Fermi level is 0.841 states/eV per atom.



Pr2MgF after structural relaxation. Source: Alexandria via LeMat-Bulk, functional PBE-GGA.

CIF file:
```
data_Pr2MgF
_symmetry_space_group_name_H-M 'R -3 m'
_symmetry_Int_Tables_number 166
_symmetry_space_group_name_Hall '-R 3 2"'
_cell_length_a 3.8547
_cell_length_b 3.8547
_cell_length_c 24.3327
_cell_angle_alpha 90.00
_cell_angle_beta 90.00
_cell_angle_gamma 120.00
loop_
_atom_site_label
_atom_site_type_symbol
_atom_site_fract_x
_atom_site_fract_y
_atom_site_fract_z
Pr1 Pr 0.0000 0.0000 0.2264
Mg1 Mg 0.0000 0.0000 0.0000
F1 F 0.0000 0.0000 0.5000
```

The total moment is 0.00 μB/cell. The energy relative to the elements, uncorrected comes out at -434.1 kJ/mol of formula units. For the uncorrected energy, the calculation gives -4.381 eV/atom. The value obtained for the density of states at the Fermi level is 1.113 states/eV per atom.



Ti2MoPb after structural relaxation. Source: Alexandria via LeMat-Bulk, functional PBE-GGA.

CIF file:
```
data_Ti2MoPb
_symmetry_space_group_name_H-M 'P 4/m m m'
_symmetry_Int_Tables_number 123
_symmetry_space_group_name_Hall '-P 4 2'
_cell_length_a 3.3803
_cell_length_b 3.3803
_cell_length_c 6.3273
_cell_angle_alpha 90.00
_cell_angle_beta 90.00
_cell_angle_gamma 90.00
loop_
_atom_site_label
_atom_site_type_symbol
_atom_site_fract_x
_atom_site_fract_y
_atom_site_fract_z
Ti1 Ti 0.0000 0.0000 0.2183
Mo1 Mo 0.5000 0.5000 0.0000
Pb1 Pb 0.5000 0.5000 0.5000
```

For the energy of formation, the calculation gives -0.11 eV per atom. The total moment is 0.00 μB/cell. For the uncorrected energy, the calculation gives -7.690 eV/atom. The value obtained for the density of states at the Fermi level is 0.560 states/eV per atom.